1.
Compound: HfAl2
Source: OQMD via LeMat-Bulk
Functional: PBE
Structure: relaxed

POSCAR file:
```
HfAl2
1.0
-0.728 2.490 3.762
-4.169 1.656 0.873
-2.469 -1.723 3.438
Al Hf
2 1
Direct
0.250 0.250 0.250 Al
0.750 0.750 0.750 Al
0.000 0.000 0.000 Hf
```

Output
- calculated total energy (eV per atom) = -5.50
- magnetic moment (μB/cell) = 0.0
- space-group type = Fm-3m

2.
Compound: Li8Sm4O11
Source: OQMD via LeMat-Bulk
Functional: PBE
Structure: relaxed

POSCAR file:
```
Li8Sm4O11
1.0
-5.252 -10.758 0.050
-2.596 5.363 -0.218
1.620 0.117 -4.759
Sm O Li
4 11 8
Direct
0.102 0.906 0.041 Sm
0.564 0.767 0.929 Sm
0.920 0.172 0.933 Sm
0.393 0.057 0.905 Sm
0.899 0.778 0.730 O
0.602 0.172 0.178 O
0.718 0.099 0.704 O
0.091 0.224 0.301 O
0.143 0.592 0.847 O
0.763 0.831 0.182 O
0.322 0.339 0.972 O
0.393 0.739 0.603 O
0.305 0.948 0.385 O
0.564 0.406 0.698 O
0.953 0.554 0.247 O
0.223 0.397 0.673 Li
0.108 0.573 0.462 Li
0.551 0.074 0.506 Li
0.934 0.871 0.390 Li
0.747 0.455 0.947 Li
0.801 0.340 0.440 Li
0.688 0.587 0.450 Li
0.273 0.546 0.222 Li
```

Output
- calculated total energy (eV per atom) = -6.15
- magnetic moment (μB/cell) = 0.0
- space-group type = P1

Which value of calculated total energy does entry 2 give? -6.15 eV per atom

What did the second record say?
Compound: Li8Sm4O11
Source: OQMD via LeMat-Bulk
Functional: PBE
Structure: relaxed

POSCAR file:
```
Li8Sm4O11
1.0
-5.252 -10.758 0.050
-2.596 5.363 -0.218
1.620 0.117 -4.759
Sm O Li
4 11 8
Direct
0.102 0.906 0.041 Sm
0.564 0.767 0.929 Sm
0.920 0.172 0.933 Sm
0.393 0.057 0.905 Sm
0.899 0.778 0.730 O
0.602 0.172 0.178 O
0.718 0.099 0.704 O
0.091 0.224 0.301 O
0.143 0.592 0.847 O
0.763 0.831 0.182 O
0.322 0.339 0.972 O
0.393 0.739 0.603 O
0.305 0.948 0.385 O
0.564 0.406 0.698 O
0.953 0.554 0.247 O
0.223 0.397 0.673 Li
0.108 0.573 0.462 Li
0.551 0.074 0.506 Li
0.934 0.871 0.390 Li
0.747 0.455 0.947 Li
0.801 0.340 0.440 Li
0.688 0.587 0.450 Li
0.273 0.546 0.222 Li
```

Output
- calculated total energy (eV per atom) = -6.15
- magnetic moment (μB/cell) = 0.0
- space-group type = P1